[1]
Ba3TiAl10O20, PBEsol geometry, DFT meta-GGA SCAN; raw formation energy = -3.364 eV/atom
1.0
7.796 -5.703 0.000
7.796 5.703 0.000
-1.525 0.000 4.747
Ba Ti Al O
3 1 10 20
direct
0.000 0.000 0.000
0.278 0.278 0.250
0.722 0.722 0.750
0.500 0.500 0.000
0.007 0.285 0.658
0.150 0.577 0.835
0.285 0.007 0.658
0.364 0.636 0.500
0.423 0.850 0.165
0.577 0.150 0.835
0.636 0.364 0.500
0.715 0.993 0.342
0.850 0.423 0.165
0.993 0.715 0.342
0.011 0.711 0.996
0.104 0.104 0.533
0.118 0.403 0.684
0.171 0.660 0.567
0.289 0.989 0.004
0.306 0.551 0.112
0.340 0.829 0.433
0.403 0.118 0.684
0.437 0.437 0.607
0.449 0.694 0.888
0.551 0.306 0.112
0.563 0.563 0.393
0.597 0.882 0.316
0.660 0.171 0.567
0.694 0.449 0.888
0.711 0.011 0.996
0.829 0.340 0.433
0.882 0.597 0.316
0.896 0.896 0.467
0.989 0.289 0.004


[2]
Ti3PdO, PBEsol geometry, DFT meta-GGA SCAN; raw formation energy = -1.457 eV/atom
1.0
4.054 0.000 0.000
0.000 4.054 0.000
0.000 0.000 4.054
Ti Pd O
3 1 1
direct
0.000 0.000 0.500
0.000 0.500 0.000
0.500 0.000 0.000
0.500 0.500 0.500
0.000 0.000 0.000


[3]
MgRe2Se, PBEsol geometry, DFT meta-GGA SCAN; raw formation energy = 0.862 eV/atom; energy above the most stable polymorph in this dataset = 333 meV/atom
1.0
0.000 3.087 3.087
3.087 0.000 3.087
3.087 3.087 0.000
Mg Re Se
1 2 1
direct
0.000 0.000 0.000
0.250 0.250 0.250
0.750 0.750 0.750
0.500 0.500 0.500


[4]
Be2NiIr, PBEsol geometry, DFT meta-GGA SCAN; formation energy = -71.3 kJ/mol of atoms; energy above the most stable polymorph in this dataset = 0 meV/atom
1.0
0.000 2.689 2.689
2.689 0.000 2.689
2.689 2.689 0.000
Be Ni Ir
2 1 1
direct
0.250 0.250 0.250
0.750 0.750 0.750
0.000 0.000 0.000
0.500 0.500 0.500


[5]
TaCoB, PBEsol geometry, DFT meta-GGA SCAN; formation energy = -53.5 kJ/mol of atoms
1.0
3.264 0.000 0.000
0.000 16.787 0.000
0.000 0.000 5.823
Ta Co B
10 10 10
direct
0.250 0.071 0.028
0.250 0.125 0.522
0.250 0.250 0.145
0.250 0.375 0.522
0.250 0.429 0.028
0.750 0.571 0.972
0.750 0.625 0.478
0.750 0.750 0.855
0.750 0.875 0.478
0.750 0.929 0.972
0.250 0.524 0.643
0.250 0.679 0.150
0.250 0.750 0.506
0.250 0.821 0.150
0.250 0.976 0.643
0.750 0.024 0.357
0.750 0.179 0.850
0.750 0.250 0.494
0.750 0.321 0.850
0.750 0.476 0.357
0.250 0.250 0.733
0.250 0.548 0.268
0.250 0.649 0.770
0.250 0.851 0.770
0.250 0.952 0.268
0.750 0.048 0.732
0.750 0.149 0.230
0.750 0.351 0.230
0.750 0.452 0.732
0.750 0.750 0.267


[6]
Pr5Ga3, PBEsol geometry, DFT meta-GGA SCAN; formation energy = -53.2 kJ/mol of atoms
1.0
7.802 0.000 0.000
0.000 7.802 0.000
0.000 0.000 14.396
Pr Ga
20 12
direct
0.064 0.591 0.102
0.064 0.909 0.602
0.091 0.564 0.398
0.091 0.936 0.898
0.250 0.250 0.217
0.250 0.250 0.717
0.409 0.564 0.898
0.409 0.936 0.398
0.436 0.591 0.602
0.436 0.909 0.102
0.564 0.091 0.898
0.564 0.409 0.398
0.591 0.064 0.602
0.591 0.436 0.102
0.750 0.750 0.283
0.750 0.750 0.783
0.909 0.064 0.102
0.909 0.436 0.602
0.936 0.091 0.398
0.936 0.409 0.898
0.132 0.632 0.750
0.132 0.868 0.250
0.250 0.250 0.004
0.250 0.250 0.504
0.368 0.632 0.250
0.368 0.868 0.750
0.632 0.132 0.250
0.632 0.368 0.750
0.750 0.750 0.496
0.750 0.750 0.996
0.868 0.132 0.750
0.868 0.368 0.250